No. 1
{
  "formula": "RbNiBr",
  "functional": "PBE",
  "state": "relaxed",
  "space_group": "No. 216",
  "dos_at_fermi_per_ev_cell": 2.617,
  "formation_energy_uncorrected_mev_per_atom": 244,
  "relative_energy_ev_per_atom": 0.673,
  "lattice_angstrom": [[0.0000, 3.4586, 3.4586], [3.4586, 0.0000, 3.4586], [3.4586, 3.4586, 0.0000]],
  "species": ["Rb", "Ni", "Br"],
  "frac_coords": [[0.0000, 0.0000, 0.0000], [0.7500, 0.7500, 0.7500], [0.5000, 0.5000, 0.5000]]
}


No. 2
{
  "formula": "RbNiBr2",
  "functional": "PBE",
  "state": "relaxed",
  "space_group": "No. 225",
  "dos_at_fermi_per_ev_cell": 10.487,
  "formation_energy_uncorrected_mev_per_atom": -242,
  "relative_energy_ev_per_atom": 0.537,
  "lattice_angstrom": [[0.0000, 3.8039, 3.8039], [3.8039, 0.0000, 3.8039], [3.8039, 3.8039, 0.0000]],
  "species": ["Rb", "Ni", "Br", "Br"],
  "frac_coords": [[0.0000, 0.0000, 0.0000], [0.5000, 0.5000, 0.5000], [0.2500, 0.2500, 0.2500], [0.7500, 0.7500, 0.7500]]
}